[1]
A relaxed structure of KMg2Te. Source: Alexandria, functional GGA-PBE.

Computed properties:
Final energy = -2.074 eV/atom
Mass density = 2.47 g/cm³

The structure in CIF format:
```
data_KMg2Te
_cell_length_a 9.447
_cell_length_b 9.447
_cell_length_c 6.486
_cell_angle_alpha 90.00
_cell_angle_beta 90.00
_cell_angle_gamma 90.00
_space_group_name_H-M_alt 'I -4 2 d'
_space_group_IT_number 122
_space_group_name_Hall 'I -4 2bw'
loop_
_atom_site_label
_atom_site_fract_x
_atom_site_fract_y
_atom_site_fract_z
K1 0.000 0.000 0.000
Mg1 0.181 0.250 0.625
Te1 0.000 0.000 0.500
```

[2]
A relaxed structure of CsI4. Source: Alexandria, functional GGA-PBE.

Computed properties:
Final energy = -1.990 eV/atom
Mass density = 3.82 g/cm³

The structure in CIF format:
```
data_CsI4
_cell_length_a 9.181
_cell_length_b 9.181
_cell_length_c 13.200
_cell_angle_alpha 90.00
_cell_angle_beta 90.00
_cell_angle_gamma 90.00
_space_group_name_H-M_alt 'I 4/m m m'
_space_group_IT_number 139
_space_group_name_Hall '-I 4 2'
loop_
_atom_site_label
_atom_site_fract_x
_atom_site_fract_y
_atom_site_fract_z
Cs1 0.000 0.500 0.250
I1 0.000 0.000 0.000
I2 0.000 0.000 0.222
I3 0.000 0.000 0.500
I4 0.230 0.230 0.500
```

[3]
A relaxed structure of KIr2Pt. Source: Alexandria, functional GGA-PBE.

Computed properties:
Formation energy from the elements = 0.37 eV per atom
Mass density = 12.32 g/cm³

The structure in CIF format:
```
data_KIr2Pt
_cell_length_a 2.721
_cell_length_b 4.110
_cell_length_c 7.578
_cell_angle_alpha 90.00
_cell_angle_beta 100.21
_cell_angle_gamma 90.00
_space_group_name_H-M_alt 'P 1 m 1'
_space_group_IT_number 6
loop_
_space_group_symop_operation_xyz
'x,y,z'
'x,-y,z'
loop_
_atom_site_label
_atom_site_fract_x
_atom_site_fract_y
_atom_site_fract_z
K1 0.000 0.000 0.000
Ir1 0.321 0.500 0.652
Ir2 0.764 0.000 0.538
Pt1 0.654 0.500 0.314
```

[4]
A relaxed structure of Ba2BeMo. Source: Alexandria, functional GGA-PBE.

Computed properties:
Formation energy from the elements = 0.65 eV per atom
Mass density = 5.48 g/cm³

The structure in CIF format:
```
data_Ba2BeMo
_cell_length_a 3.487
_cell_length_b 3.487
_cell_length_c 9.454
_cell_angle_alpha 90.00
_cell_angle_beta 90.00
_cell_angle_gamma 90.00
_space_group_name_H-M_alt 'P 4 m m'
_space_group_IT_number 99
loop_
_space_group_symop_operation_xyz
'x,y,z'
'-y,x,z'
'-x,-y,z'
'y,-x,z'
'-x,y,z'
'y,x,z'
'x,-y,z'
'-y,-x,z'
loop_
_atom_site_label
_atom_site_fract_x
_atom_site_fract_y
_atom_site_fract_z
Ba1 0.000 0.000 0.000
Ba2 0.500 0.500 0.424
Be1 0.000 0.000 0.687
Mo1 0.500 0.500 0.734
```

[5]
A relaxed structure of Ba3LaN. Source: Alexandria, functional GGA-PBE.

Computed properties:
Final energy = -2.314 eV/atom
Mass density = 3.46 g/cm³

The structure in CIF format:
```
data_Ba3LaN
_cell_length_a 6.469
_cell_length_b 6.469
_cell_length_c 6.469
_cell_angle_alpha 90.00
_cell_angle_beta 90.00
_cell_angle_gamma 90.00
_space_group_name_H-M_alt 'P m -3 m'
_space_group_IT_number 221
_space_group_name_Hall '-P 4 2 3'
loop_
_atom_site_label
_atom_site_fract_x
_atom_site_fract_y
_atom_site_fract_z
Ba1 0.000 0.000 0.500
La1 0.000 0.000 0.000
N1 0.500 0.500 0.500
```

[6]
A relaxed structure of RbV3Au. Source: Alexandria, functional GGA-PBE.

Computed properties:
Formation energy from the elements = 2.46 eV per atom
Mass density = 8.03 g/cm³

The structure in CIF format:
```
data_RbV3Au
_cell_length_a 4.482
_cell_length_b 4.482
_cell_length_c 4.482
_cell_angle_alpha 90.00
_cell_angle_beta 90.00
_cell_angle_gamma 90.00
_space_group_name_H-M_alt 'P m -3 m'
_space_group_IT_number 221
_space_group_name_Hall '-P 4 2 3'
loop_
_atom_site_label
_atom_site_fract_x
_atom_site_fract_y
_atom_site_fract_z
Rb1 0.000 0.000 0.000
V1 0.000 0.000 0.500
Au1 0.500 0.500 0.500
```

[7]
A relaxed structure of Ti2AgBr2. Source: Alexandria, functional GGA-PBE.

Computed properties:
Final energy = -4.320 eV/atom
Mass density = 6.43 g/cm³

The structure in CIF format:
```
data_Ti2AgBr2
_cell_length_a 7.578
_cell_length_b 7.578
_cell_length_c 3.268
_cell_angle_alpha 90.00
_cell_angle_beta 90.00
_cell_angle_gamma 90.00
_space_group_name_H-M_alt 'P 4/m b m'
_space_group_IT_number 127
_space_group_name_Hall '-P 4 2ab'
loop_
_atom_site_label
_atom_site_fract_x
_atom_site_fract_y
_atom_site_fract_z
Ti1 0.148 0.352 0.000
Ag1 0.000 0.000 0.000
Br1 0.143 0.643 0.500
```

[8]
A relaxed structure of Sr2Ce4As3O2. Source: Alexandria, functional GGA-PBE.

Computed properties:
Final energy = -6.372 eV/atom
Mass density = 6.03 g/cm³

The structure in CIF format:
```
data_Sr2Ce4As3O2
_cell_length_a 4.704
_cell_length_b 4.704
_cell_length_c 24.728
_cell_angle_alpha 90.00
_cell_angle_beta 90.00
_cell_angle_gamma 90.00
_space_group_name_H-M_alt 'I 4/m m m'
_space_group_IT_number 139
_space_group_name_Hall '-I 4 2'
loop_
_atom_site_label
_atom_site_fract_x
_atom_site_fract_y
_atom_site_fract_z
Sr1 0.000 0.000 0.200
Ce1 0.000 0.500 0.079
As1 0.000 0.000 0.331
As2 0.000 0.000 0.500
O1 0.000 0.000 0.097
```

[9]
A relaxed structure of SiI2NO. Source: Alexandria, functional GGA-PBE.

Computed properties:
Final energy = -3.095 eV/atom
Mass density = 5.50 g/cm³

The structure in CIF format:
```
data_SiI2NO
_cell_length_a 5.032
_cell_length_b 5.032
_cell_length_c 3.722
_cell_angle_alpha 90.00
_cell_angle_beta 90.00
_cell_angle_gamma 90.00
_space_group_name_H-M_alt 'P 4/m m m'
_space_group_IT_number 123
_space_group_name_Hall '-P 4 2'
loop_
_atom_site_label
_atom_site_fract_x
_atom_site_fract_y
_atom_site_fract_z
Si1 0.000 0.000 0.000
I1 0.000 0.500 0.500
N1 0.500 0.500 0.500
O1 0.500 0.500 0.000
```

[10]
A relaxed structure of Ca3YEr2Se6. Source: Alexandria, functional GGA-PBE.

Computed properties:
Final energy = -5.404 eV/atom
Mass density = 5.69 g/cm³

The structure in CIF format:
```
data_Ca3YEr2Se6
_cell_length_a 7.098
_cell_length_b 12.280
_cell_length_c 7.209
_cell_angle_alpha 90.00
_cell_angle_beta 109.19
_cell_angle_gamma 90.00
_space_group_name_H-M_alt 'C 1 2/m 1'
_space_group_IT_number 12
loop_
_space_group_symop_operation_xyz
'x,y,z'
'-x,-y,-z'
'-x,y,-z'
'x,-y,z'
'x+1/2,y+1/2,z'
'-x+1/2,-y+1/2,-z'
'-x+1/2,y+1/2,-z'
'x+1/2,-y+1/2,z'
loop_
_atom_site_label
_atom_site_fract_x
_atom_site_fract_y
_atom_site_fract_z
Ca1 0.000 0.000 0.000
Ca2 0.000 0.334 0.000
Y1 0.000 0.500 0.500
Er1 0.000 0.167 0.500
Se1 0.245 0.000 0.744
Se2 0.249 0.332 0.744
```

[11]
A relaxed structure of K2SrSn2S4. Source: Alexandria, functional GGA-PBE.

Computed properties:
Final energy = -4.233 eV/atom
Mass density = 3.21 g/cm³

The structure in CIF format:
```
data_K2SrSn2S4
_cell_length_a 17.923
_cell_length_b 4.150
_cell_length_c 8.107
_cell_angle_alpha 90.00
_cell_angle_beta 114.11
_cell_angle_gamma 90.00
_space_group_name_H-M_alt 'C 1 2/m 1'
_space_group_IT_number 12
loop_
_space_group_symop_operation_xyz
'x,y,z'
'-x,-y,-z'
'-x,y,-z'
'x,-y,z'
'x+1/2,y+1/2,z'
'-x+1/2,-y+1/2,-z'
'-x+1/2,y+1/2,-z'
'x+1/2,-y+1/2,z'
loop_
_atom_site_label
_atom_site_fract_x
_atom_site_fract_y
_atom_site_fract_z
K1 0.115 0.000 0.061
Sr1 0.000 0.000 0.500
Sn1 0.192 0.500 0.560
S1 0.052 0.500 0.296
S2 0.175 0.000 0.748
```

[12]
A relaxed structure of SmCuSi. Source: Alexandria, functional GGA-PBE.

Computed properties:
Final energy = -5.026 eV/atom
Mass density = 6.10 g/cm³

The structure in CIF format:
```
data_SmCuSi
_cell_length_a 6.413
_cell_length_b 6.413
_cell_length_c 6.413
_cell_angle_alpha 90.00
_cell_angle_beta 90.00
_cell_angle_gamma 90.00
_space_group_name_H-M_alt 'F -4 3 m'
_space_group_IT_number 216
_space_group_name_Hall 'F -4 2 3'
loop_
_atom_site_label
_atom_site_fract_x
_atom_site_fract_y
_atom_site_fract_z
Sm1 0.000 0.000 0.000
Cu1 0.000 0.000 0.500
Si1 0.250 0.250 0.750
```